Record 1
Compound: Ho4SnIr
Source: the Alexandria database
Functional: PBE
Structure: optimized geometry

Cell: 6.907 6.983 7.463 Å, 90.00 91.63 90.00°
Fractional positions:
Ho: 0.867 0.648 0.190
Ho: 0.367 0.852 0.190
Ho: 0.674 0.664 0.640
Ho: 0.326 0.336 0.360
Ho: 0.633 0.148 0.810
Ho: 0.133 0.352 0.810
Ho: 0.826 0.164 0.360
Ho: 0.174 0.836 0.640
Ir: 0.000 0.500 0.500
Ir: 0.500 0.000 0.500
Sn: 0.000 0.000 0.000
Sn: 0.500 0.500 0.000

The energy of formation comes out at -47 kJ/mol of atoms. As for the crystal system: monoclinic. As for the space-group type: P2_1/c (14).

Record 2
Compound: NdTiZn2
Source: the Alexandria database
Functional: PBE
Structure: optimized geometry

Cell: 3.365 3.365 7.011 Å, 90.00 90.00 90.00°
Fractional positions:
Zn: 0.000 0.000 0.803
Zn: 0.000 0.000 0.197
Nd: 0.500 0.500 0.500
Ti: 0.500 0.500 0.000

The energy of formation comes out at -16 kJ/mol of atoms. For the polymorph energy (0 for the lowest one), the calculation gives 0 meV per atom. As for the crystal system: tetragonal. As for the space-group type: P4/mmm (123).

Record 3
Compound: Tm7ZnPb4
Source: the Alexandria database
Functional: PBE
Structure: optimized geometry

Cell: 5.400 9.122 8.170 Å, 80.22 70.70 72.78°
Fractional positions:
Tm: 0.500 0.000 0.000
Tm: 0.921 0.306 0.853
Tm: 0.355 0.568 0.721
Tm: 0.793 0.861 0.554
Tm: 0.645 0.432 0.279
Tm: 0.079 0.694 0.147
Tm: 0.207 0.139 0.446
Pb: 0.280 0.340 0.101
Pb: 0.720 0.660 0.899
Pb: 0.421 0.784 0.375
Pb: 0.579 0.216 0.625
Zn: 0.000 0.000 0.000

The energy of formation comes out at -14 kJ/mol of atoms. As for the crystal system: monoclinic. As for the space-group type: C2/m (12).

Record 4
Compound: HfTl2Ge
Source: the Alexandria database
Functional: PBE
Structure: optimized geometry

Cell: 5.169 5.169 5.169 Å, 60.00 60.00 60.00°
Fractional positions:
Ge: 0.000 0.000 0.000
Tl: 0.750 0.750 0.750
Tl: 0.250 0.250 0.250
Hf: 0.500 0.500 0.500

The energy of formation comes out at 47 kJ/mol of atoms. For the polymorph energy (0 for the lowest one), the calculation gives 126 meV per atom. As for the crystal system: cubic. As for the space-group type: Fm-3m (225).

Record 5
Compound: SrZn2SiNi
Source: the Alexandria database
Functional: PBE
Structure: optimized geometry

Cell: 4.653 4.653 4.432 Å, 90.00 90.00 90.00°
Fractional positions:
Ni: 0.000 0.000 0.000
Zn: 0.500 0.000 0.000
Zn: 0.000 0.500 0.000
Sr: 0.500 0.500 0.500
Si: 0.000 0.000 0.500

As for the crystal system: tetragonal. The calculation puts the raw formation energy at -208 meV/atom. As for the space-group type: P4/mmm (123).

Record 6
Compound: TaTlHg2O4
Source: the Alexandria database
Functional: PBE
Structure: optimized geometry

Cell: 5.917 5.917 6.319 Å, 117.31 117.31 91.14°
Fractional positions:
O: 0.429 0.794 0.223
O: 0.199 0.199 0.771
O: 0.794 0.429 0.223
O: 0.571 0.571 0.771
Hg: 0.752 0.252 0.503
Hg: 0.252 0.752 0.503
Ta: 0.499 0.499 0.998
Tl: 0.005 0.005 0.009

As for the crystal system: orthorhombic. The calculation puts the raw formation energy at -1229 meV/atom. As for the space-group type: Fmm2 (42).

Record 7
Compound: Sr2Sn2Te
Source: the Alexandria database
Functional: PBE
Structure: optimized geometry

Cell: 8.454 8.454 4.762 Å, 90.00 90.00 90.00°
Fractional positions:
Sr: 0.824 0.324 0.500
Sr: 0.324 0.176 0.500
Sr: 0.176 0.676 0.500
Sr: 0.676 0.824 0.500
Te: 0.000 0.000 0.000
Te: 0.500 0.500 0.000
Sn: 0.876 0.624 0.000
Sn: 0.376 0.876 0.000
Sn: 0.624 0.124 0.000
Sn: 0.124 0.376 0.000

For the polymorph energy (0 for the lowest one), the calculation gives 193 meV per atom. As for the crystal system: tetragonal. The calculation puts the raw formation energy at -658 meV/atom. As for the space-group type: P4/mbm (127).

Record 8
Compound: HfBAu
Source: the Alexandria database
Functional: PBE
Structure: optimized geometry

Cell: 6.826 4.754 5.613 Å, 90.00 90.00 90.00°
Fractional positions:
Hf: 0.833 0.750 0.647
Hf: 0.167 0.250 0.353
Hf: 0.667 0.250 0.147
Hf: 0.333 0.750 0.853
Au: 0.466 0.750 0.355
Au: 0.534 0.250 0.645
Au: 0.966 0.750 0.145
Au: 0.034 0.250 0.855
B: 0.160 0.750 0.472
B: 0.840 0.250 0.528
B: 0.340 0.250 0.972
B: 0.660 0.750 0.028

The energy of formation comes out at -24 kJ/mol of atoms. As for the crystal system: orthorhombic. As for the space-group type: Pnma (62).

Record 9
Compound: LiUPa2S6
Source: the Alexandria database
Functional: PBE
Structure: optimized geometry

Cell: 6.616 6.129 6.129 Å, 90.00 90.00 90.00°
Fractional positions:
U: 0.566 0.500 0.500
S: 0.753 0.760 0.760
S: 0.753 0.240 0.240
S: 0.753 0.760 0.240
S: 0.173 0.000 0.000
S: 0.753 0.240 0.760
S: 0.159 0.500 0.500
Pa: 0.001 0.500 0.000
Pa: 0.001 0.000 0.500
Li: 0.535 0.000 0.000

As for the crystal system: tetragonal. The calculation puts the raw formation energy at -1125 meV/atom. As for the space-group type: P4mm (99).

Record 10
Compound: PmPrI5
Source: the Alexandria database
Functional: PBE
Structure: optimized geometry

Cell: 4.330 9.532 14.815 Å, 94.54 90.00 90.00°
Fractional positions:
Pr: 0.250 0.895 0.849
Pr: 0.750 0.105 0.151
Pm: 0.750 0.587 0.658
Pm: 0.250 0.413 0.342
I: 0.250 0.373 0.715
I: 0.750 0.131 0.926
I: 0.250 0.676 0.514
I: 0.250 0.349 0.125
I: 0.750 0.627 0.285
I: 0.750 0.928 0.689
I: 0.250 0.072 0.311
I: 0.750 0.651 0.875
I: 0.750 0.324 0.486
I: 0.250 0.869 0.074

As for the crystal system: monoclinic. The calculation puts the raw formation energy at -1382 meV/atom. As for the space-group type: P2_1/m (11).

Record 11
Compound: Be2FeOsRh
Source: the Alexandria database
Functional: PBE
Structure: optimized geometry

Cell: 3.953 4.262 3.953 Å, 90.00 90.00 90.00°
Fractional positions:
Be: 0.500 0.000 0.000
Be: 0.000 0.000 0.500
Os: 0.500 0.500 0.500
Fe: 0.000 0.000 0.000
Rh: 0.000 0.500 0.000

The energy of formation comes out at 112 kJ/mol of atoms. As for the crystal system: tetragonal. As for the space-group type: P4/mmm (123).

Record 12
Compound: CrNi2W
Source: the Alexandria database
Functional: PBE
Structure: optimized geometry

Cell: 4.180 4.180 4.180 Å, 60.00 60.00 60.00°
Fractional positions:
Ni: 0.250 0.250 0.250
Ni: 0.750 0.750 0.750
W: 0.500 0.500 0.500
Cr: 0.000 0.000 0.000

The energy of formation comes out at 25 kJ/mol of atoms. For the polymorph energy (0 for the lowest one), the calculation gives 228 meV per atom. As for the crystal system: cubic. As for the space-group type: Fm-3m (225).